Tl2FeAgSb | meta-GGA SCAN | single point on PBEsol structure

```
Tl2FeAgSb
1.0
-2.729 -3.563 1.995
3.671 -0.777 3.635
-2.322 3.511 3.095
Sb Tl Ag Fe
1 2 1 1
Direct
0.500 0.500 0.500
0.000 0.500 0.000
0.000 0.000 0.500
0.000 0.000 0.000
0.500 0.000 0.000
```

space group	P4/mmm (123)
ΔE_f (raw)	0.7316	eV/atom
total DFT energy (no corrections)	-227.82	eV/cell